RbLiP2 (GGA-PBE, optimized geometry); space group = No. 141; ΔE_f = -0.73 eV per formula unit
1.0
-2.394 2.394 8.822
2.394 -2.394 8.822
2.394 2.394 -8.822
Rb Li P
2 2 4
Cartesian
2.394 1.197 2.206
0.000 1.197 6.617
2.394 -1.197 6.617
0.000 3.591 2.206
0.000 0.000 0.000
1.197 1.197 -4.411
1.197 -1.197 4.411
0.000 2.394 0.000

Na2YGaH (GGA-PBE, optimized geometry); space group = No. 123
1.0
6.376 0.000 0.000
0.000 6.376 0.000
0.000 0.000 3.884
Na Y Ga H
2 1 1 1
Cartesian
0.000 3.188 0.000
3.188 0.000 0.000
0.000 0.000 0.000
3.188 3.188 1.942
0.000 0.000 1.942

| no. | magnetic moment (μB per formula unit) | energy (eV/cell) | distance to the lowest polymorph of the same formula (kJ/mol of formula units) |
| --- | --- | --- | --- |
| 1 | 0.00 | -28.85 | 0 |
| 2 | 0.00 | -13.02 | 152 |